First-principles (PBE) data for MgAlAg2P after structural relaxation, as listed in Alexandria via LeMat-Bulk.

Cell: 5.075 4.676 5.075 Å, 90.00 90.00 90.00°
Fractional coordinates of all 5 atoms:
P (0.000, 0.500, 0.000)
Mg (0.000, 0.000, 0.000)
Al (0.500, 0.500, 0.500)
Ag (0.000, 0.000, 0.500)
Ag (0.500, 0.000, 0.000)

ΔH_f (0 K) = 0.710 eV per atom
Density = 4109 kg/m³
Volume = 24.09 Å³/atom
Spin magnetization = 0.0000 μB per atom
Energy = -2.5797 eV/atom

=====

First-principles (PBE) data for Cs2CaYF6 after structural relaxation, as listed in Alexandria via LeMat-Bulk.

Cell: 6.852 6.341 9.180 Å, 90.00 90.00 90.00°
Site moments in Bohr magnetons follow the coordinates.
Fractional coordinates of all 20 atoms:
Cs (0.500, 0.763, 0.250)  0.03
Cs (0.000, 0.237, 0.750)  0.03
Cs (0.500, 0.763, 0.750)  0.03
Cs (0.000, 0.237, 0.250)  0.03
Ca (0.000, 0.742, 0.500)  0.00
Ca (0.500, 0.258, 0.000)  0.00
Y (0.500, 0.265, 0.500)  0.37
Y (0.000, 0.735, 0.000)  0.37
F (0.500, 0.254, 0.255)  0.00
F (0.500, 0.254, 0.745)  0.00
F (0.000, 0.746, 0.245)  0.00
F (0.000, 0.746, 0.755)  0.00
F (0.242, 0.003, 0.500)  0.01
F (0.758, 0.003, 0.500)  0.01
F (0.213, 0.461, 0.500)  0.02
F (0.787, 0.461, 0.500)  0.02
F (0.713, 0.539, 0.000)  0.02
F (0.287, 0.539, 0.000)  0.02
F (0.258, 0.997, 0.000)  0.01
F (0.742, 0.997, 0.000)  0.01

Raw formation energy = -32.5 eV per formula unit
Density = 4236 kg/m³
Volume = 19.94 Å³/atom
Spin magnetization = 0.0907 μB per atom
Energy = -5.3947 eV/atom

=====

First-principles (PBE) data for VGe2Ir after structural relaxation, as listed in Alexandria via LeMat-Bulk.

Cell: 4.380 4.380 4.380 Å, 60.00 60.00 60.00°
Site moments in Bohr magnetons follow the coordinates.
Fractional coordinates of all 4 atoms:
Ge (0.250, 0.250, 0.250)  -0.03
Ge (0.750, 0.750, 0.750)  -0.03
Ir (0.500, 0.500, 0.500)  -0.06
V (0.000, 0.000, 0.000)  1.96

ΔH_f (0 K) = -0.111 eV per atom
Density = 10853 kg/m³
Volume = 14.86 Å³/atom
Spin magnetization = 0.5309 μB per atom
Energy = -6.9148 eV/atom

=====

First-principles (PBE) data for Ac3Ge3Pb after structural relaxation, as listed in Alexandria via LeMat-Bulk.

Cell: 6.438 9.381 9.381 Å, 120.00 90.00 90.00°
Fractional coordinates of all 14 atoms:
Ac (0.750, 0.693, 0.620)
Ac (0.750, 0.380, 0.073)
Ac (0.750, 0.927, 0.307)
Ac (0.250, 0.307, 0.380)
Ac (0.250, 0.620, 0.927)
Ac (0.250, 0.073, 0.693)
Ge (0.250, 0.708, 0.648)
Ge (0.250, 0.352, 0.060)
Ge (0.250, 0.940, 0.292)
Ge (0.750, 0.292, 0.352)
Ge (0.750, 0.648, 0.940)
Ge (0.750, 0.060, 0.708)
Pb (0.250, 0.667, 0.333)
Pb (0.750, 0.333, 0.667)

ΔH_f (0 K) = -0.495 eV per atom
Density = 7487 kg/m³
Volume = 35.05 Å³/atom
Spin magnetization = 0.0000 μB per atom
Energy = -4.7642 eV/atom

=====

First-principles (PBE) data for DyHoRhAu after structural relaxation, as listed in Alexandria via LeMat-Bulk.

Cell: 4.965 4.965 4.965 Å, 60.00 60.00 60.00°
Fractional coordinates of all 4 atoms:
Rh (0.500, 0.500, 0.500)
Au (0.000, 0.000, 0.000)
Ho (0.250, 0.250, 0.250)
Dy (0.750, 0.750, 0.750)

ΔH_f (0 K) = -0.842 eV per atom
Density = 12038 kg/m³
Volume = 21.63 Å³/atom
Spin magnetization = 0.0000 μB per atom
Energy = -5.7941 eV/atom

=====

First-principles (PBE) data for CeNdHgAu after structural relaxation, as listed in Alexandria via LeMat-Bulk.

Cell: 3.747 3.747 7.640 Å, 90.00 90.00 90.00°
Site moments in Bohr magnetons follow the coordinates.
Fractional coordinates of all 4 atoms:
Ce (0.500, 0.500, 0.120)  0.92
Nd (0.500, 0.500, 0.594)  0.01
Hg (0.000, 0.000, 0.857)  0.01
Au (0.000, 0.000, 0.357)  0.00

ΔH_f (0 K) = -0.524 eV per atom
Density = 10558 kg/m³
Volume = 26.81 Å³/atom
Spin magnetization = 0.2896 μB per atom
Energy = -4.0940 eV/atom

=====

First-principles (PBE) data for Cs2SmTlF6 after structural relaxation, as listed in Alexandria via LeMat-Bulk.

Cell: 7.007 7.007 7.007 Å, 60.00 60.00 60.00°
Fractional coordinates of all 10 atoms:
Cs (0.750, 0.750, 0.750)
Cs (0.250, 0.250, 0.250)
Sm (0.000, 0.000, 0.000)
Tl (0.500, 0.500, 0.500)
F (0.227, 0.773, 0.773)
F (0.227, 0.773, 0.227)
F (0.227, 0.227, 0.773)
F (0.773, 0.773, 0.227)
F (0.773, 0.227, 0.227)
F (0.773, 0.227, 0.773)

Raw formation energy = -30.9 eV per formula unit
Density = 5013 kg/m³
Volume = 24.33 Å³/atom
Spin magnetization = 0.0000 μB per atom
Energy = -5.0924 eV/atom

=====

First-principles (PBE) data for BaAc2PO8 after structural relaxation, as listed in Alexandria via LeMat-Bulk.

Cell: 5.402 5.402 7.529 Å, 90.00 90.00 120.00°
Site moments in Bohr magnetons follow the coordinates.
Fractional coordinates of all 12 atoms:
Ba (0.000, 0.000, 0.500)  -0.01
Ac (0.667, 0.333, 0.146)  0.09
Ac (0.333, 0.667, 0.854)  0.09
P (0.000, 0.000, 0.000)  -0.02
O (0.851, 0.702, 0.867)  0.22
O (0.298, 0.149, 0.867)  0.22
O (0.851, 0.149, 0.867)  0.22
O (0.149, 0.298, 0.133)  0.22
O (0.702, 0.851, 0.133)  0.22
O (0.149, 0.851, 0.133)  0.22
O (0.667, 0.333, 0.442)  0.57
O (0.333, 0.667, 0.558)  0.57

Raw formation energy = -27.3 eV per formula unit
Density = 6549 kg/m³
Volume = 15.85 Å³/atom
Spin magnetization = 0.2544 μB per atom
Energy = -6.8749 eV/atom

=====

First-principles (PBE) data for Na2SrPt after structural relaxation, as listed in Alexandria via LeMat-Bulk.

Cell: 5.204 5.204 5.204 Å, 60.00 60.00 60.00°
Fractional coordinates of all 4 atoms:
Sr (0.000, 0.000, 0.000)
Pt (0.500, 0.500, 0.500)
Na (0.250, 0.250, 0.250)
Na (0.750, 0.750, 0.750)

ΔH_f (0 K) = -0.095 eV per atom
Density = 5476 kg/m³
Volume = 24.92 Å³/atom
Spin magnetization = 0.0000 μB per atom
Energy = -2.6850 eV/atom

=====

First-principles (PBE) data for Ta2Cr3B4 after structural relaxation, as listed in Alexandria via LeMat-Bulk.

Cell: 5.649 5.793 5.803 Å, 90.00 90.00 108.02°
Fractional coordinates of all 18 atoms:
Ta (0.576, 0.195, 0.329)
Ta (0.924, 0.805, 0.829)
Ta (0.424, 0.805, 0.671)
Ta (0.076, 0.195, 0.171)
Cr (0.000, 0.500, 0.500)
Cr (0.500, 0.500, 0.000)
Cr (0.749, 0.250, 0.820)
Cr (0.751, 0.750, 0.320)
Cr (0.251, 0.750, 0.180)
Cr (0.249, 0.250, 0.680)
B (0.878, 0.075, 0.534)
B (0.622, 0.925, 0.034)
B (0.122, 0.925, 0.466)
B (0.378, 0.075, 0.966)
B (0.883, 0.499, 0.114)
B (0.617, 0.501, 0.614)
B (0.117, 0.501, 0.886)
B (0.383, 0.499, 0.386)

ΔH_f (0 K) = -0.653 eV per atom
Density = 10321 kg/m³
Volume = 10.03 Å³/atom
Spin magnetization = 0.0000 μB per atom
Energy = -9.4628 eV/atom

=====

First-principles (PBE) data for La3Tb8Dy2 after structural relaxation, as listed in Alexandria via LeMat-Bulk.

Cell: 5.685 7.758 10.851 Å, 110.95 90.09 90.00°
Fractional coordinates of all 13 atoms:
La (0.500, 0.000, 0.000)
La (0.000, 0.298, 0.000)
La (0.000, 0.702, 0.000)
Tb (0.002, 0.674, 0.348)
Tb (0.998, 0.326, 0.652)
Tb (0.999, 0.137, 0.274)
Tb (0.001, 0.863, 0.726)
Tb (0.500, 0.598, 0.781)
Tb (0.500, 0.182, 0.781)
Tb (0.500, 0.818, 0.219)
Tb (0.500, 0.402, 0.219)
Dy (0.497, 0.241, 0.483)
Dy (0.503, 0.759, 0.517)

ΔH_f (0 K) = 0.243 eV per atom
Density = 7480 kg/m³
Volume = 34.38 Å³/atom
Spin magnetization = 0.0000 μB per atom
Energy = -4.4511 eV/atom

=====

First-principles (PBE) data for VSe2BrN after structural relaxation, as listed in Alexandria via LeMat-Bulk.

Cell: 5.198 5.198 3.689 Å, 90.00 90.00 90.00°
Site moments in Bohr magnetons follow the coordinates.
Fractional coordinates of all 5 atoms:
N (0.000, 0.000, 0.500)  0.05
Se (0.000, 0.500, 0.000)  -0.01
Se (0.500, 0.000, 0.000)  -0.01
Br (0.000, 0.000, 0.000)  -0.01
V (0.500, 0.500, 0.500)  -0.02

Raw formation energy = 8.3 eV per formula unit
Density = 5044 kg/m³
Volume = 19.93 Å³/atom
Spin magnetization = 0.0011 μB per atom
Energy = -3.5660 eV/atom